Density functional theory data (PBE) for crystalline Ca4Ag5Pd2 at its relaxed geometry.

The structure in CIF format:
```
data_Ca4Ag5Pd2
_chemical_formula_sum 'Ca4 Ag5 Pd2'
_symmetry_space_group_name_H-M 'P 1'
_symmetry_Int_Tables_number 1
_symmetry_space_group_name_Hall 'P 1'
_cell_length_a 3.981
_cell_length_b 7.358
_cell_length_c 8.825
_cell_angle_alpha 94.18
_cell_angle_beta 90.00
_cell_angle_gamma 90.00
loop_
_atom_site_label
_atom_site_type_symbol
_atom_site_fract_x
_atom_site_fract_y
_atom_site_fract_z
_atom_site_occupancy
Ca1 Ca 0.500 0.232 0.421 1
Ca2 Ca 0.500 0.794 0.137 1
Ca3 Ca 0.500 0.768 0.579 1
Ca4 Ca 0.500 0.206 0.863 1
Ag1 Ag 0.000 0.465 0.671 1
Ag2 Ag 0.000 0.839 0.865 1
Ag3 Ag 0.000 0.500 0.000 1
Ag4 Ag 0.000 0.161 0.135 1
Ag5 Ag 0.000 0.535 0.329 1
Pd1 Pd 0.000 0.917 0.359 1
Pd2 Pd 0.000 0.083 0.641 1
```

Results
Total DFT energy (no corrections)   -36.974 eV per formula unit
Theoretical density   5.878 g/cm3
Space-group type   P2/m (10)
Total moment   0.0 μB/cell
Energy relative to the elements   -417 kJ/mol of formula units